Entry 1:
A plane-wave DFT calculation with GGA-PBE was carried out for an optimized crystal structure of ScRe2P2.

Its crystal system is tetragonal. The calculation puts the calculated formation energy at -29.5 kJ/mol of atoms.

a b c (Å): 5.461 5.461 5.461
angles (deg): 133.57 133.57 67.76
Element x y z (fractional)
Sc  0.000  0.000  0.000
Re  0.370  0.370  0.000
Re  0.630  0.630  0.000
P  0.250  0.750  0.500
P  0.750  0.250  0.500

***

Entry 2:
A plane-wave DFT calculation with GGA-PBE was carried out for an optimized crystal structure of AcYTh2.

Its crystal system is tetragonal. The calculation puts the calculated formation energy at 21.6 kJ/mol of atoms.

a b c (Å): 4.260 4.260 7.777
angles (deg): 90.00 90.00 90.00
Element x y z (fractional)
Ac  0.000  0.000  0.000
Y  0.000  0.000  0.500
Th  0.500  0.500  0.281
Th  0.500  0.500  0.719

***

Entry 3:
A plane-wave DFT calculation with GGA-PBE was carried out for an optimized crystal structure of Cs3Bi2I9.

Its crystal system is monoclinic. The uncorrected formation energy comes out at -1304 kJ/mol of formula units.

a b c (Å): 8.629 8.629 22.228
angles (deg): 92.05 92.05 119.91
Element x y z (fractional)
Cs  0.012  0.988  0.750
Cs  0.322  0.667  0.429
Cs  0.333  0.678  0.071
Cs  0.667  0.322  0.929
Cs  0.678  0.333  0.571
Cs  0.988  0.012  0.250
Bi  0.318  0.646  0.843
Bi  0.354  0.682  0.657
Bi  0.646  0.318  0.343
Bi  0.682  0.354  0.157
I  0.001  0.495  0.734
I  0.131  0.298  0.903
I  0.131  0.801  0.913
I  0.199  0.869  0.587
I  0.201  0.364  0.570
I  0.298  0.131  0.403
I  0.364  0.201  0.070
I  0.495  0.001  0.234
I  0.497  0.503  0.250
I  0.503  0.497  0.750
I  0.505  0.999  0.766
I  0.636  0.799  0.930
I  0.702  0.869  0.597
I  0.799  0.636  0.430
I  0.801  0.131  0.413
I  0.869  0.199  0.087
I  0.869  0.702  0.097
I  0.999  0.505  0.266

***

Entry 4:
A plane-wave DFT calculation with GGA-PBE was carried out for an optimized crystal structure of DyMnSi3Ir.

Its crystal system is orthorhombic. The uncorrected formation energy comes out at -216 kJ/mol of formula units.

a b c (Å): 6.598 6.598 5.381
angles (deg): 90.00 90.00 111.22
Element x y z (fractional)
Dy  0.238  0.762  0.750
Dy  0.762  0.238  0.250
Mn  0.046  0.954  0.250
Mn  0.954  0.046  0.750
Si  0.239  0.761  0.250
Si  0.240  0.240  0.000
Si  0.240  0.240  0.500
Si  0.760  0.760  0.000
Si  0.760  0.760  0.500
Si  0.761  0.239  0.750
Ir  0.442  0.558  0.250
Ir  0.558  0.442  0.750